A plane-wave DFT calculation with PBE-GGA was carried out for an optimized crystal structure of Al2GaAu8.

Lattice parameters (Å, degrees): 4.8986 7.0805 7.0805 60.31 78.34 78.34
Fractional coordinates of all 11 atoms:
Al (0.4479, 0.1335, 0.1335)
Al (0.5521, 0.8665, 0.8665)
Ga (0.0000, 0.0000, 0.0000)
Au (0.7746, 0.2273, 0.6314)
Au (0.2254, 0.3686, 0.7727)
Au (0.8786, 0.2198, 0.2198)
Au (0.1214, 0.7802, 0.7802)
Au (0.7746, 0.6314, 0.2273)
Au (0.2254, 0.7727, 0.3686)
Au (0.3100, 0.3493, 0.3493)
Au (0.6900, 0.6507, 0.6507)

Computed properties:
ΔE_f   -0.14 eV/atom
Spin magnetization   0.00 μB per formula unit
Distance to the lowest polymorph of the same formula   76 meV per atom
E_tot   -3.4748 eV/atom

---

A plane-wave DFT calculation with PBE-GGA was carried out for an optimized crystal structure of Al2GaAu8.

Lattice parameters (Å, degrees): 4.7430 6.1320 7.7361 112.12 106.28 94.04
Fractional coordinates of all 11 atoms:
Al (0.7499, 0.5667, 0.2264)
Al (0.4319, 0.2524, 0.5917)
Ga (0.0913, 0.9094, 0.9092)
Au (0.8253, 0.2731, 0.9084)
Au (0.9197, 0.9849, 0.5409)
Au (0.2870, 0.3545, 0.2767)
Au (0.7100, 0.0295, 0.1480)
Au (0.2627, 0.8335, 0.2779)
Au (0.8948, 0.4633, 0.5408)
Au (0.3552, 0.5448, 0.9098)
Au (0.4722, 0.7879, 0.6702)

Computed properties:
ΔE_f   -0.21 eV/atom
Spin magnetization   0.00 μB per formula unit
Distance to the lowest polymorph of the same formula   0 meV per atom
E_tot   -3.5508 eV/atom

---

A plane-wave DFT calculation with PBE-GGA was carried out for an optimized crystal structure of AlGa2Au8.

Lattice parameters (Å, degrees): 4.1786 6.0317 8.2445 100.54 104.68 90.00
Fractional coordinates of all 11 atoms:
Al (0.5000, 0.0000, 0.0000)
Ga (0.7861, 0.3147, 0.5721)
Ga (0.2139, 0.6853, 0.4279)
Au (0.4178, 0.5735, 0.8356)
Au (0.6619, 0.9146, 0.3238)
Au (0.8285, 0.7496, 0.6570)
Au (0.9635, 0.2372, 0.9269)
Au (0.1715, 0.2504, 0.3430)
Au (0.3381, 0.0854, 0.6762)
Au (0.5822, 0.4265, 0.1644)
Au (0.0365, 0.7628, 0.0731)

Computed properties:
ΔE_f   -0.15 eV/atom
Spin magnetization   0.00 μB per formula unit
Distance to the lowest polymorph of the same formula   8 meV per atom
E_tot   -3.4251 eV/atom

---

A plane-wave DFT calculation with PBE-GGA was carried out for an optimized crystal structure of AlGaAu6.

Lattice parameters (Å, degrees): 4.5671 4.5670 7.3821 105.85 105.85 96.64
Fractional coordinates of all 8 atoms:
Al (0.5000, 0.5000, 0.0000)
Ga (0.0000, 0.0000, 0.0000)
Au (0.6137, 0.1162, 0.2251)
Au (0.8838, 0.3863, 0.7749)
Au (0.2503, 0.2503, 0.5037)
Au (0.1162, 0.6137, 0.2251)
Au (0.3863, 0.8838, 0.7749)
Au (0.7497, 0.7497, 0.4963)

Computed properties:
ΔE_f   -0.12 eV/atom
Spin magnetization   0.00 μB per formula unit
Distance to the lowest polymorph of the same formula   0 meV per atom
E_tot   -3.4197 eV/atom